Below is a geometry-optimized La2PmPd structure, with properties calculated at the PBE level.

Computed properties:
Offset from the most stable computed form   0.121 eV per atom
ΔH_f (0 K)   -1.17 eV per formula unit

Cell and atoms, written as CIF:
```
data_La2PmPd
_chemical_formula_sum 'La6 Pm3 Pd3'
_space_group_name_H-M_alt 'R -3 m'
_space_group_IT_number 166
_space_group_name_Hall '-R 3 2"'
_cell_length_a 3.9193
_cell_length_b 3.9193
_cell_length_c 29.5159
_cell_angle_alpha 90.00
_cell_angle_beta 90.00
_cell_angle_gamma 120.00
loop_
_atom_site_label
_atom_site_fract_x
_atom_site_fract_y
_atom_site_fract_z
La1 0.0000 0.0000 0.2315
Pm1 0.0000 0.0000 0.0000
Pd1 0.0000 0.0000 0.5000
```

Below is a geometry-optimized Pr5Tl2Si structure, with properties calculated at the PBE level.

Computed properties:
ΔE_f (raw)   -8.80 kcal/mol of atoms

Cell and atoms, written as CIF:
```
data_Pr5Tl2Si
_chemical_formula_sum 'Pr10 Tl4 Si2'
_space_group_name_H-M_alt 'P b a m'
_space_group_IT_number 55
_space_group_name_Hall '-P 2 2ab'
_cell_length_a 7.065
_cell_length_b 13.319
_cell_length_c 5.223
_cell_angle_alpha 90.00
_cell_angle_beta 90.00
_cell_angle_gamma 90.00
loop_
_atom_site_label
_atom_site_fract_x
_atom_site_fract_y
_atom_site_fract_z
Pr1 0.000 0.000 0.000
Pr2 0.131 0.286 0.000
Pr3 0.172 0.584 0.500
Tl1 0.111 0.841 0.500
Si1 0.000 0.500 0.000
```

Below is a geometry-optimized Tm2TcC structure, with properties calculated at the PBE level.

Computed properties:
ΔH_f (0 K)   1.77 eV per formula unit

Cell and atoms, written as CIF:
```
data_Tm2TcC
_chemical_formula_sum 'Tm6 Tc3 C3'
_space_group_name_H-M_alt 'R -3 m'
_space_group_IT_number 166
_space_group_name_Hall '-R 3 2"'
_cell_length_a 3.3231
_cell_length_b 3.3231
_cell_length_c 24.6357
_cell_angle_alpha 90.00
_cell_angle_beta 90.00
_cell_angle_gamma 120.00
loop_
_atom_site_label
_atom_site_fract_x
_atom_site_fract_y
_atom_site_fract_z
Tm1 0.0000 0.0000 0.1112
Tc1 0.0000 0.0000 0.0000
C1 0.0000 0.0000 0.5000
```

Below is a geometry-optimized PrBi4 structure, with properties calculated at the PBE level.

Computed properties:
Offset from the most stable computed form   0.800 eV per atom
ΔH_f (0 K)   2.86 eV per formula unit

Cell and atoms, written as CIF:
```
data_PrBi4
_chemical_formula_sum 'Pr1 Bi4'
_space_group_name_H-M_alt 'P m -3 m'
_space_group_IT_number 221
_space_group_name_Hall '-P 4 2 3'
_cell_length_a 6.057
_cell_length_b 6.057
_cell_length_c 6.057
_cell_angle_alpha 90.00
_cell_angle_beta 90.00
_cell_angle_gamma 90.00
loop_
_atom_site_label
_atom_site_fract_x
_atom_site_fract_y
_atom_site_fract_z
Pr1 0.000 0.000 0.000
Bi1 0.000 0.000 0.500
Bi2 0.500 0.500 0.500
```

Below is a geometry-optimized NaSmBi3 structure, with properties calculated at the PBE level.

Computed properties:
ΔH_f (0 K)   -1.68 eV per formula unit

Cell and atoms, written as CIF:
```
data_NaSmBi3
_chemical_formula_sum 'Na4 Sm4 Bi12'
_space_group_name_H-M_alt 'P b c m'
_space_group_IT_number 57
_space_group_name_Hall '-P 2c 2b'
_cell_length_a 10.542
_cell_length_b 6.151
_cell_length_c 10.755
_cell_angle_alpha 90.00
_cell_angle_beta 90.00
_cell_angle_gamma 90.00
loop_
_atom_site_label
_atom_site_fract_x
_atom_site_fract_y
_atom_site_fract_z
Na1 0.120 0.250 0.000
Sm1 0.376 0.002 0.250
Bi1 0.080 0.627 0.750
Bi2 0.297 0.001 0.750
Bi3 0.472 0.250 0.000
```

Below is a geometry-optimized Sm2FeP4Ir3 structure, with properties calculated at the PBE level.

Computed properties:
ΔH_f (0 K)   -9.55 eV per formula unit

Cell and atoms, written as CIF:
```
data_Sm2FeP4Ir3
_chemical_formula_sum 'Sm2 Fe1 P4 Ir3'
_space_group_name_H-M_alt 'P -4 m 2'
_space_group_IT_number 115
_space_group_name_Hall 'P -4 -2'
_cell_length_a 4.139
_cell_length_b 4.139
_cell_length_c 9.485
_cell_angle_alpha 90.00
_cell_angle_beta 90.00
_cell_angle_gamma 90.00
loop_
_atom_site_label
_atom_site_fract_x
_atom_site_fract_y
_atom_site_fract_z
Sm1 0.000 0.500 0.245
Fe1 0.000 0.000 0.500
P1 0.000 0.000 0.000
P2 0.000 0.500 0.630
P3 0.500 0.500 0.000
Ir1 0.000 0.500 0.883
Ir2 0.500 0.500 0.500
```

Below is a geometry-optimized PrErLuHf structure, with properties calculated at the PBE level.

Computed properties:
ΔH_f (0 K)   1.12 eV per formula unit

Cell and atoms, written as CIF:
```
data_PrErLuHf
_chemical_formula_sum 'Pr4 Er4 Lu4 Hf4'
_space_group_name_H-M_alt 'F -4 3 m'
_space_group_IT_number 216
_space_group_name_Hall 'F -4 2 3'
_cell_length_a 7.735
_cell_length_b 7.735
_cell_length_c 7.735
_cell_angle_alpha 90.00
_cell_angle_beta 90.00
_cell_angle_gamma 90.00
loop_
_atom_site_label
_atom_site_fract_x
_atom_site_fract_y
_atom_site_fract_z
Pr1 0.000 0.000 0.000
Er1 0.250 0.250 0.250
Lu1 0.250 0.250 0.750
Hf1 0.000 0.000 0.500
```

Below is a geometry-optimized Pm2ScGe4Pd3 structure, with properties calculated at the PBE level.

Computed properties:
ΔH_f (0 K)   -8.26 eV per formula unit

Cell and atoms, written as CIF:
```
data_Pm2ScGe4Pd3
_chemical_formula_sum 'Pm2 Sc1 Ge4 Pd3'
_space_group_name_H-M_alt 'P -4 m 2'
_space_group_IT_number 115
_space_group_name_Hall 'P -4 -2'
_cell_length_a 4.229
_cell_length_b 4.229
_cell_length_c 11.200
_cell_angle_alpha 90.00
_cell_angle_beta 90.00
_cell_angle_gamma 90.00
loop_
_atom_site_label
_atom_site_fract_x
_atom_site_fract_y
_atom_site_fract_z
Pm1 0.000 0.500 0.238
Sc1 0.000 0.000 0.500
Ge1 0.000 0.000 0.000
Ge2 0.000 0.500 0.652
Ge3 0.500 0.500 0.000
Pd1 0.000 0.500 0.874
Pd2 0.500 0.500 0.500
```